Entry 1:
BeICl3 | PBE | optimized geometry

Output
Excess energy over the best structure of this formula in the dataset in meV/atom: 0.0
N(E_F) in states/eV/f.u.: 1.93
Total energy in eV/cell: -12.03

abc: 4.7159 4.7159 4.7159
angles: 90.00 90.00 90.00
Last column: nearest neighbours and their distance in Å.
Space group Pm-3m (No. 221)
Asymmetric unit:
Be  0.0000  0.0000  0.0000  6 Cl 2.36
I  0.5000  0.5000  0.5000  12 Cl 3.33
Cl  0.0000  0.0000  0.5000  2 Be 2.36



Entry 2:
BeIn2ICl | PBE | optimized geometry

Output
N(E_F) in states/eV/f.u.: 1.28
Total energy in eV/cell: -12.99

abc: 5.2061 5.2061 5.0528
angles: 90.00 90.00 90.00
Last column: nearest neighbours and their distance in Å.
Space group P4/mmm (No. 123)
Asymmetric unit:
Be  0.0000  0.0000  0.0000  2 I 2.53, 4 In 2.60
In  0.0000  0.5000  0.0000  2 Be 2.60
I  0.0000  0.0000  0.5000  2 Be 2.53
Cl  0.5000  0.5000  0.5000  8 In 3.63, 4 I 3.68



Entry 3:
BeIN2Cl | PBE | optimized geometry

Output
Excess energy over the best structure of this formula in the dataset in meV/atom: 0.0
N(E_F) in states/eV/f.u.: 2.54
Total energy in eV/cell: -16.53

abc: 3.7750 3.7750 6.5145
angles: 90.00 90.00 90.00
Last column: nearest neighbours and their distance in Å.
Space group P4/mmm (No. 123)
Asymmetric unit:
Be  0.0000  0.0000  0.0000  4 N 1.89
I  0.0000  0.0000  0.5000  4 Cl 2.67
N  0.0000  0.5000  0.0000  2 Be 1.89
Cl  0.5000  0.5000  0.5000  4 I 2.67



Entry 4:
BeIN2Cl | PBE | optimized geometry

Output
Excess energy over the best structure of this formula in the dataset in meV/atom: 721.8
N(E_F) in states/eV/f.u.: 2.34
Total energy in eV/cell: -12.92

abc: 3.7131 3.7131 6.9831
angles: 90.00 90.00 90.00
Last column: nearest neighbours and their distance in Å.
Space group P4/mmm (No. 123)
Asymmetric unit:
Be  0.0000  0.0000  0.0000  4 I 2.63
I  0.5000  0.5000  0.0000  4 Be 2.63
N  0.0000  0.5000  0.5000  2 Cl 1.86
Cl  0.5000  0.5000  0.5000  4 N 1.86



How do the records compare in raw formation energy? In the order shown, they have -0.244, -0.077, 1.448, 2.170 eV/atom.